Entry 1:
A plane-wave DFT calculation with PBE-GGA was carried out for an optimized crystal structure of Pm3MgS.

The space group is Pm-3m (No. 221) and the conventional cell measures 5.3978, 5.3978 and 5.3978 Å, with angles of 90.00, 90.00 and 90.00 degrees. The asymmetric unit holds Pm at (0.0000, 0.0000, 0.5000), Mg at (0.5000, 0.5000, 0.5000) and S at (0.0000, 0.0000, 0.0000).

Its density of states at the Fermi level is 0.694 states/eV/atom. Its size of the total moment is 0.0 Bohr magnetons per cell. The electronic total energy is -23.58 eV per cell.



Entry 2:
A plane-wave DFT calculation with PBE-GGA was carried out for an optimized crystal structure of Pm2MgS4.

The space group is I-42d (No. 122) and the conventional cell measures 8.3114, 8.3114 and 8.7531 Å, with angles of 90.00, 90.00 and 90.00 degrees. The asymmetric unit holds Pm at (0.1317, 0.2500, 0.1250), Mg at (0.0000, 0.0000, 0.5000) and S at (0.0684, 0.1981, 0.8091).

Its density of states at the Fermi level is 0.000 states/eV/atom. Its size of the total moment is 0.0 Bohr magnetons per cell. The energy above the most stable polymorph in this dataset comes out at 0.25 eV/f.u. The electronic total energy is -161.13 eV per cell.



Entry 3:
A plane-wave DFT calculation with PBE-GGA was carried out for an optimized crystal structure of Pm2MgS4.

The space group is Fd-3m (No. 227, origin choice 2) and the conventional cell measures 11.4220, 11.4220 and 11.4220 Å, with angles of 90.00, 90.00 and 90.00 degrees. The asymmetric unit holds Pm at (0.0000, 0.0000, 0.0000), Mg at (0.1250, 0.1250, 0.6250) and S at (0.0030, 0.0030, 0.2470).

Its size of the total moment is 0.0 Bohr magnetons per cell. The energy above the most stable polymorph in this dataset comes out at 0.13 eV/f.u. The electronic total energy is -323.25 eV per cell.



Entry 4:
A plane-wave DFT calculation with PBE-GGA was carried out for an optimized crystal structure of Pm2MgS4.

The space group is Pnma (No. 62) and the conventional cell measures 8.1675, 7.2030 and 11.7344 Å, with angles of 90.00, 90.00 and 90.00 degrees. The asymmetric unit holds Pm at (0.0346, 0.2500, 0.1867), Pm at (0.0849, 0.7500, 0.4680), Mg at (0.1902, 0.7500, 0.0842), S at (0.0908, 0.2500, 0.9475), S at (0.1401, 0.5043, 0.6540) and S at (0.2099, 0.2500, 0.3902).

Its density of states at the Fermi level is 0.000 states/eV/atom. Its size of the total moment is 0.0 Bohr magnetons per cell. The energy above the most stable polymorph in this dataset comes out at 1.16 eV/f.u. The electronic total energy is -157.49 eV per cell.



Entry 5:
A plane-wave DFT calculation with PBE-GGA was carried out for an optimized crystal structure of Pm2MgS4.

The space group is Pnma (No. 62) and the conventional cell measures 12.9098, 3.9501 and 13.8907 Å, with angles of 90.00, 90.00 and 90.00 degrees. The asymmetric unit holds Pm at (0.1219, 0.2500, 0.0741), Pm at (0.1313, 0.2500, 0.7072), Mg at (0.1070, 0.7500, 0.4624), S at (0.0011, 0.7500, 0.6142), S at (0.0243, 0.2500, 0.8854), S at (0.2311, 0.2500, 0.2448) and S at (0.2312, 0.2500, 0.5161).

Its density of states at the Fermi level is 0.000 states/eV/atom. Its size of the total moment is 0.0 Bohr magnetons per cell. The energy above the most stable polymorph in this dataset comes out at 0.40 eV/f.u. The electronic total energy is -160.55 eV per cell.



Entry 6:
A plane-wave DFT calculation with PBE-GGA was carried out for an optimized crystal structure of Pm2MgS4.

The space group is Pbca (No. 61) and the conventional cell measures 6.6714, 7.2725 and 13.9026 Å, with angles of 90.00, 90.00 and 90.00 degrees. The asymmetric unit holds Pm at (0.0041, 0.1022, 0.1425), Mg at (0.0000, 0.0000, 0.5000), S at (0.1228, 0.5363, 0.8200) and S at (0.1855, 0.6875, 0.5417).

Its density of states at the Fermi level is 0.000 states/eV/atom. Its size of the total moment is 0.0 Bohr magnetons per cell. The energy above the most stable polymorph in this dataset comes out at 0.10 eV/f.u. The electronic total energy is -161.75 eV per cell.



Entry 7:
A plane-wave DFT calculation with PBE-GGA was carried out for an optimized crystal structure of PmMgS.

The space group is R-3m (No. 166, hexagonal axes) and the conventional cell measures 4.8868, 4.8868 and 22.9137 Å, with angles of 90.00, 90.00 and 120.00 degrees. The asymmetric unit holds Pm at (0.0000, 0.0000, 0.0928), Mg at (0.0000, 0.0000, 0.3279) and S at (0.0000, 0.0000, 0.2171).

Its density of states at the Fermi level is 0.500 states/eV/atom. Its size of the total moment is 0.0 Bohr magnetons per cell. The electronic total energy is -82.26 eV per cell.



Entry 8:
A plane-wave DFT calculation with PBE-GGA was carried out for an optimized crystal structure of Pm2MgS3.

The space group is Fmm2 (No. 42) and the conventional cell measures 5.5806, 16.8292 and 5.5808 Å, with angles of 90.00, 90.00 and 90.00 degrees. The asymmetric unit holds Pm at (0.0000, 0.1719, 0.0000), Mg at (0.0000, 0.0000, 0.5045), S at (0.0000, 0.0000, 0.0001) and S at (0.0000, 0.1544, 0.4999).

Its density of states at the Fermi level is 0.314 states/eV/atom. Its size of the total moment is 0.0 Bohr magnetons per cell. The electronic total energy is -136.22 eV per cell.



Entry 9:
A plane-wave DFT calculation with PBE-GGA was carried out for an optimized crystal structure of Pm4MgS7.

The space group is Cm (No. 8) and the conventional cell measures 12.8980, 3.9214 and 11.7240 Å, with angles of 90.00, 105.58 and 90.00 degrees. The asymmetric unit holds Pm at (0.0000, 0.0000, 0.0000), Pm at (0.0734, 0.5000, 0.3527), Pm at (0.1894, 0.0000, 0.7631), Pm at (0.3808, 0.5000, 0.5577), Mg at (0.2713, 0.5000, 0.1435), S at (0.0420, 0.5000, 0.6171), S at (0.1320, 0.5000, 0.9282), S at (0.1586, 0.0000, 0.2129), S at (0.2187, 0.0000, 0.5126), S at (0.3456, 0.5000, 0.7812), S at (0.3873, 0.0000, 0.0804) and S at (0.4177, 0.5000, 0.3386).

Its size of the total moment is 0.0 Bohr magnetons per cell. The electronic total energy is -145.23 eV per cell.



Entry 10:
A plane-wave DFT calculation with PBE-GGA was carried out for an optimized crystal structure of PmMgS3.

The space group is C2/m (No. 12) and the conventional cell measures 7.9503, 11.4669 and 6.8500 Å, with angles of 90.00, 118.51 and 90.00 degrees. The asymmetric unit holds Pm at (0.2162, 0.0000, 0.2566), Mg at (0.0000, 0.3396, 0.0000), S at (0.0769, 0.5000, 0.2831) and S at (0.0814, 0.1531, 0.8568).

Its density of states at the Fermi level is 0.021 states/eV/atom. Its size of the total moment is 4.0 Bohr magnetons per cell. The electronic total energy is -99.78 eV per cell.



Entry 11:
A plane-wave DFT calculation with PBE-GGA was carried out for an optimized crystal structure of Pm5MgS6.

The space group is C2/m (No. 12) and the conventional cell measures 6.9061, 12.0138 and 6.8924 Å, with angles of 90.00, 109.56 and 90.00 degrees. The asymmetric unit holds Pm at (0.0000, 0.0000, 0.0000), Pm at (0.0000, 0.1666, 0.5000), Pm at (0.0000, 0.3292, 0.0000), Mg at (0.0000, 0.5000, 0.5000), S at (0.2327, 0.5000, 0.2602) and S at (0.2359, 0.3427, 0.7374).

Its density of states at the Fermi level is 0.343 states/eV/atom. Its size of the total moment is 0.0 Bohr magnetons per cell. The electronic total energy is -145.55 eV per cell.



Entry 12:
A plane-wave DFT calculation with PBE-GGA was carried out for an optimized crystal structure of Pm2MgS4.

The space group is Pnma (No. 62) and the conventional cell measures 13.8308, 8.1537 and 6.6388 Å, with angles of 90.00, 90.00 and 90.00 degrees. The asymmetric unit holds Pm at (0.0000, 0.0000, 0.0000), Pm at (0.2293, 0.2500, 0.4892), Mg at (0.0970, 0.7500, 0.4186), S at (0.0660, 0.2500, 0.7410), S at (0.0907, 0.7500, 0.7815) and S at (0.1705, 0.5159, 0.2393).

Its density of states at the Fermi level is 0.000 states/eV/atom. Its size of the total moment is 0.0 Bohr magnetons per cell. The energy above the most stable polymorph in this dataset comes out at 0.00 eV/f.u. The electronic total energy is -162.14 eV per cell.